No. 1
{"formula": "BaWBr2", "functional": "meta-GGA SCAN", "state": "PBEsol geometry", "total_energy_ev_per_atom": -36.912, "n_ef_per_ev_atom": 0.293, "relative_energy_kj_per_mol_atoms": 0.00, "formation_energy_uncorrected_ev_per_atom": 0.127, "spacegroup": "P4mm", "lattice": [[3.4466, 0.0000, 0.0000], [0.0000, 3.4466, 0.0000], [0.0000, 0.0000, 8.6890]], "species": ["Ba", "W", "Br", "Br"], "frac_coords": [[0.0000, 0.0000, 0.0000], [0.5000, 0.5000, 0.6967], [0.0000, 0.0000, 0.5788], [0.5000, 0.5000, 0.2389]]}

---

No. 2
{"formula": "Mn3Si", "functional": "meta-GGA SCAN", "state": "PBEsol geometry", "total_energy_ev_per_atom": -16.451, "n_ef_per_ev_atom": 0.673, "formation_energy_uncorrected_ev_per_atom": -0.256, "spacegroup": "P4/mmm", "lattice": [[2.7383, 0.0000, 0.0000], [0.0000, 2.7383, 0.0000], [0.0000, 0.0000, 5.6124]], "species": ["Mn", "Mn", "Mn", "Si"], "frac_coords": [[0.0000, 0.0000, 0.0000], [0.5000, 0.5000, 0.2515], [0.5000, 0.5000, 0.7485], [0.0000, 0.0000, 0.5000]]}

---

No. 3
{"formula": "ScCd4Pt", "functional": "meta-GGA SCAN", "state": "PBEsol geometry", "total_energy_ev_per_atom": -34.444, "n_ef_per_ev_atom": 0.886, "e_form_mev_per_atom": -96, "spacegroup": "F-43m", "lattice": [[0.0000, 3.8689, 3.8689], [3.8689, 0.0000, 3.8689], [3.8689, 3.8689, 0.0000]], "species": ["Sc", "Cd", "Cd", "Cd", "Cd", "Pt"], "frac_coords": [[0.0000, 0.0000, 0.0000], [0.1258, 0.6247, 0.6247], [0.6247, 0.1258, 0.6247], [0.6247, 0.6247, 0.1258], [0.6247, 0.6247, 0.6247], [0.2500, 0.2500, 0.2500]]}

---

No. 4
{"formula": "Cd2Cu", "functional": "meta-GGA SCAN", "state": "PBEsol geometry", "total_energy_ev_per_atom": -25.296, "n_ef_per_ev_atom": 0.251, "e_form_mev_per_atom": 47, "spacegroup": "C2/m", "lattice": [[5.3241, -1.5324, 0.0000], [5.3241, 1.5324, 0.0000], [-2.1710, 0.0000, 6.2849]], "species": ["Cd", "Cd", "Cd", "Cd", "Cu", "Cu"], "frac_coords": [[0.0250, 0.0250, 0.2336], [0.3240, 0.3240, 0.3724], [0.6760, 0.6760, 0.6276], [0.9750, 0.9750, 0.7664], [0.3305, 0.3305, 0.9595], [0.6695, 0.6695, 0.0405]]}